# 1
An optimized crystal structure of Ba3RuN3, computed with PBE.

Results
As for the total DFT energy (no corrections): -6.172 eV per atom. For the uncorrected formation energy, the calculation gives -3.2 eV/f.u. Its symmetry is No. 176. As for the density of states at the Fermi level: 7.0 states/eV per cell.

Cell lengths 8.260, 8.260, 5.659 Å; angles 90.00, 90.00, 120.00 degrees
Atoms (fractional coordinates):
Ba 0.906 0.637 0.250
Ba 0.269 0.906 0.750
Ba 0.731 0.094 0.250
Ba 0.637 0.731 0.750
Ba 0.094 0.363 0.750
Ba 0.363 0.269 0.250
N 0.314 0.881 0.250
N 0.433 0.314 0.750
N 0.567 0.686 0.250
N 0.119 0.433 0.250
N 0.686 0.119 0.750
N 0.881 0.567 0.750
Ru 0.667 0.333 0.750
Ru 0.333 0.667 0.250

---

# 2
An optimized crystal structure of In2HgAuC, computed with PBE.

Results
As for the total DFT energy (no corrections): -2.313 eV per atom. Its symmetry is No. 123. The value obtained for the calculated formation energy is 1.343 eV/atom. As for the density of states at the Fermi level: 1.7 states/eV per cell.

Cell lengths 5.365, 5.356, 5.365 Å; angles 90.00, 90.00, 90.00 degrees
Atoms (fractional coordinates):
Au 0.000 0.000 0.000
Hg 0.000 0.500 0.000
In 0.500 0.000 0.000
In 0.000 0.000 0.500
C 0.500 0.500 0.500

---

# 3
An optimized crystal structure of Na2Sn2Br7, computed with PBE.

Results
As for the total DFT energy (no corrections): -2.987 eV per atom. For the uncorrected formation energy, the calculation gives -10.5 eV/f.u. Its symmetry is No. 12. As for the density of states at the Fermi level: 5.4 states/eV per cell.

Cell lengths 8.013, 7.852, 7.852 Å; angles 107.90, 92.50, 92.50 degrees
Atoms (fractional coordinates):
Na 0.000 0.319 0.681
Na 0.000 0.681 0.319
Br 0.740 0.434 0.434
Br 0.174 0.058 0.397
Br 0.260 0.566 0.566
Br 0.174 0.397 0.058
Br 0.500 0.000 0.000
Br 0.826 0.942 0.603
Br 0.826 0.603 0.942
Sn 0.373 0.276 0.276
Sn 0.627 0.724 0.724

---

# 4
An optimized crystal structure of LaPr9Nd2, computed with PBE.

Results
As for the total DFT energy (no corrections): -4.779 eV per atom. Its symmetry is No. 123. The value obtained for the calculated formation energy is 0.011 eV/atom. As for the density of states at the Fermi level: 20.9 states/eV per cell.

Cell lengths 5.249, 5.249, 15.749 Å; angles 90.00, 90.00, 90.00 degrees
Atoms (fractional coordinates):
Pr 0.000 0.500 0.168
Pr 0.000 0.500 0.500
Pr 0.000 0.500 0.832
Pr 0.500 0.000 0.500
Pr 0.500 0.000 0.168
Pr 0.500 0.500 0.666
Pr 0.500 0.500 0.334
Pr 0.500 0.500 0.000
Pr 0.500 0.000 0.832
La 0.000 0.000 0.000
Nd 0.000 0.000 0.334
Nd 0.000 0.000 0.666

---

# 5
An optimized crystal structure of Re2Ni2W, computed with PBE.

Results
As for the total DFT energy (no corrections): -9.647 eV per atom. Its symmetry is No. 127. The value obtained for the calculated formation energy is 0.235 eV/atom. As for the density of states at the Fermi level: 15.1 states/eV per cell.

Cell lengths 6.695, 6.695, 3.029 Å; angles 90.00, 90.00, 90.00 degrees
Atoms (fractional coordinates):
Re 0.328 0.172 0.500
Re 0.172 0.672 0.500
Re 0.672 0.828 0.500
Re 0.828 0.328 0.500
Ni 0.625 0.125 0.000
Ni 0.875 0.625 0.000
Ni 0.125 0.375 0.000
Ni 0.375 0.875 0.000
W 0.500 0.500 0.000
W 0.000 0.000 0.000

---

# 6
An optimized crystal structure of TaZn2Pd, computed with PBE.

Results
As for the total DFT energy (no corrections): -4.996 eV per atom. Its symmetry is No. 166. The value obtained for the calculated formation energy is -0.098 eV/atom. As for the density of states at the Fermi level: 3.4 states/eV per cell.

Cell lengths 2.900, 2.900, 8.892 Å; angles 80.61, 80.61, 60.00 degrees
Atoms (fractional coordinates):
Ta 0.500 0.500 0.500
Pd 0.000 0.000 0.000
Zn 0.745 0.745 0.765
Zn 0.255 0.255 0.235

---

# 7
An optimized crystal structure of KCd5Sn2, computed with PBE.

Results
As for the total DFT energy (no corrections): -1.788 eV per atom. Its symmetry is No. 71. The value obtained for the calculated formation energy is -0.078 eV/atom. As for the density of states at the Fermi level: 2.2 states/eV per cell.

Cell lengths 4.629, 7.455, 7.455 Å; angles 68.78, 71.91, 71.91 degrees
Atoms (fractional coordinates):
K 0.000 0.000 0.000
Cd 0.000 0.500 0.500
Cd 0.631 0.180 0.557
Cd 0.369 0.820 0.443
Cd 0.369 0.443 0.820
Cd 0.631 0.557 0.180
Sn 0.746 0.754 0.754
Sn 0.254 0.246 0.246

---

# 8
An optimized crystal structure of Hf3AsS, computed with PBE.

Results
As for the total DFT energy (no corrections): -8.493 eV per atom. For the uncorrected formation energy, the calculation gives -3.8 eV/f.u. Its symmetry is No. 63. As for the density of states at the Fermi level: 5.0 states/eV per cell.

Cell lengths 3.470, 7.350, 8.472 Å; angles 90.00, 90.00, 103.66 degrees
Atoms (fractional coordinates):
S 0.028 0.556 0.750
S 0.972 0.444 0.250
Hf 0.840 0.179 0.454
Hf 0.160 0.821 0.546
Hf 0.395 0.289 0.750
Hf 0.605 0.711 0.250
Hf 0.160 0.821 0.954
Hf 0.840 0.179 0.046
As 0.746 0.993 0.750
As 0.254 0.007 0.250

---

# 9
An optimized crystal structure of Li2CaScPt, computed with PBE.

Results
As for the total DFT energy (no corrections): -3.191 eV per atom. Its symmetry is No. 123. The value obtained for the calculated formation energy is 0.450 eV/atom. As for the density of states at the Fermi level: 3.9 states/eV per cell.

Cell lengths 4.644, 5.084, 4.644 Å; angles 90.00, 90.00, 90.00 degrees
Atoms (fractional coordinates):
Li 0.000 0.000 0.500
Li 0.500 0.000 0.000
Sc 0.500 0.500 0.500
Pt 0.000 0.500 0.000
Ca 0.000 0.000 0.000

---

# 10
An optimized crystal structure of NaLa2AlFe, computed with PBE.

Results
As for the total DFT energy (no corrections): -4.714 eV per atom. Its symmetry is No. 123. The value obtained for the calculated formation energy is -0.038 eV/atom. As for the density of states at the Fermi level: 6.2 states/eV per cell.

Cell lengths 5.290, 5.290, 4.871 Å; angles 90.00, 90.00, 90.00 degrees
Atoms (fractional coordinates):
La 0.000 0.500 0.000
La 0.500 0.000 0.000
Fe 0.000 0.000 0.000
Na 0.500 0.500 0.500
Al 0.000 0.000 0.500

---

# 11
An optimized crystal structure of NdPuIn, computed with PBE.

Results
As for the total DFT energy (no corrections): -7.359 eV per atom. Its symmetry is No. 156. The value obtained for the calculated formation energy is -0.080 eV/atom. As for the density of states at the Fermi level: 7.8 states/eV per cell.

Cell lengths 3.348, 5.397, 5.397 Å; angles 120.00, 90.00, 90.00 degrees
Atoms (fractional coordinates):
Pu 0.317 0.333 0.667
Nd 0.675 0.667 0.333
In 0.008 0.000 0.000

---

# 12
An optimized crystal structure of Ac4NpO10, computed with PBE.

Results
As for the total DFT energy (no corrections): -8.285 eV per atom. For the uncorrected formation energy, the calculation gives -45.3 eV/f.u. Its symmetry is No. 87. As for the density of states at the Fermi level: 12.7 states/eV per cell.

Cell lengths 5.807, 7.049, 7.049 Å; angles 80.23, 65.67, 65.67 degrees
Atoms (fractional coordinates):
O 0.396 0.915 0.733
O 0.044 0.085 0.267
O 0.129 0.267 0.915
O 0.311 0.733 0.085
O 0.250 0.500 0.500
O 0.871 0.733 0.085
O 0.750 0.500 0.500
O 0.689 0.267 0.915
O 0.956 0.915 0.733
O 0.604 0.085 0.267
Ac 0.400 0.799 0.400
Ac 0.600 0.201 0.600
Ac 0.801 0.600 0.799
Ac 0.199 0.400 0.201
Np 0.000 0.000 0.000

---

# 13
An optimized crystal structure of LiAgRu2N, computed with PBE.

Results
As for the total DFT energy (no corrections): -6.238 eV per atom. For the uncorrected formation energy, the calculation gives 0.5 eV/f.u. Its symmetry is No. 123. As for the density of states at the Fermi level: 4.3 states/eV per cell.

Cell lengths 3.953, 3.953, 4.277 Å; angles 90.00, 90.00, 90.00 degrees
Atoms (fractional coordinates):
Ag 0.500 0.500 0.500
Ru 0.500 0.000 0.000
Ru 0.000 0.500 0.000
N 0.000 0.000 0.000
Li 0.000 0.000 0.500

---

# 14
An optimized crystal structure of Ba6H8Br, computed with PBE.

Results
As for the total DFT energy (no corrections): -3.272 eV per atom. Its symmetry is No. 148. As for the density of states at the Fermi level: 4.9 states/eV per cell.

Cell lengths 7.711, 7.711, 8.394 Å; angles 62.66, 62.66, 60.00 degrees
Atoms (fractional coordinates):
Ba 0.561 0.911 0.271
Ba 0.089 0.743 0.729
Ba 0.911 0.257 0.271
Ba 0.439 0.089 0.729
Ba 0.743 0.439 0.729
Ba 0.257 0.561 0.271
H 0.120 0.439 0.644
H 0.333 0.333 0.001
H 0.880 0.561 0.356
H 0.203 0.880 0.356
H 0.667 0.667 0.999
H 0.439 0.797 0.644
H 0.561 0.203 0.356
H 0.797 0.120 0.644
Br 0.000 0.000 0.000

---

# 15
An optimized crystal structure of InCuPd, computed with PBE.

Results
As for the total DFT energy (no corrections): -4.210 eV per atom. Its symmetry is No. 156. The value obtained for the calculated formation energy is -0.200 eV/atom. As for the density of states at the Fermi level: 1.3 states/eV per cell.

Cell lengths 2.952, 4.380, 4.380 Å; angles 120.00, 90.00, 90.00 degrees
Atoms (fractional coordinates):
Cu 0.996 0.000 0.000
In 0.708 0.667 0.333
Pd 0.296 0.333 0.667

---

# 16
An optimized crystal structure of Mg6Ga2Ag, computed with PBE.

Results
As for the total DFT energy (no corrections): -2.125 eV per atom. Its symmetry is No. 71. The value obtained for the calculated formation energy is -0.072 eV/atom. As for the density of states at the Fermi level: 2.9 states/eV per cell.

Cell lengths 4.591, 6.564, 7.945 Å; angles 114.40, 106.84, 90.00 degrees
Atoms (fractional coordinates):
Mg 0.833 0.086 0.665
Mg 0.500 0.748 0.000
Mg 0.500 0.252 0.000
Mg 0.167 0.914 0.335
Mg 0.167 0.421 0.335
Mg 0.833 0.579 0.665
Ga 0.333 0.333 0.666
Ga 0.667 0.667 0.334
Ag 0.000 0.000 0.000

---

# 17
An optimized crystal structure of Ho3HfGa12, computed with PBE.

Results
As for the total DFT energy (no corrections): -4.243 eV per atom. Its symmetry is No. 123. The value obtained for the calculated formation energy is -0.492 eV/atom. As for the density of states at the Fermi level: 6.0 states/eV per cell.

Cell lengths 4.210, 4.210, 16.961 Å; angles 90.00, 90.00, 90.00 degrees
Atoms (fractional coordinates):
Ga 0.500 0.500 0.500
Ga 0.500 0.000 0.373
Ga 0.500 0.500 0.751
Ga 0.500 0.500 0.000
Ga 0.500 0.000 0.881
Ga 0.500 0.000 0.627
Ga 0.000 0.500 0.627
Ga 0.000 0.500 0.881
Ga 0.000 0.500 0.119
Ga 0.500 0.000 0.119
Ga 0.500 0.500 0.249
Ga 0.000 0.500 0.373
Ho 0.000 0.000 0.500
Ho 0.000 0.000 0.244
Ho 0.000 0.000 0.756
Hf 0.000 0.000 0.000

---

# 18
An optimized crystal structure of Ho2Zn12CuNi3, computed with PBE.

Results
As for the total DFT energy (no corrections): -2.633 eV per atom. Its symmetry is No. 166. The value obtained for the calculated formation energy is -0.084 eV/atom. As for the density of states at the Fermi level: 10.3 states/eV per cell.

Cell lengths 6.594, 6.594, 6.594 Å; angles 84.43, 84.43, 84.43 degrees
Atoms (fractional coordinates):
Zn 0.567 0.567 0.160
Zn 0.195 0.195 0.725
Zn 0.160 0.567 0.567
Zn 0.805 0.805 0.275
Zn 0.567 0.160 0.567
Zn 0.840 0.433 0.433
Zn 0.433 0.840 0.433
Zn 0.275 0.805 0.805
Zn 0.195 0.725 0.195
Zn 0.725 0.195 0.195
Zn 0.805 0.275 0.805
Zn 0.433 0.433 0.840
Ho 0.237 0.237 0.237
Ho 0.763 0.763 0.763
Cu 0.000 0.000 0.000
Ni 0.500 0.000 0.000
Ni 0.000 0.000 0.500
Ni 0.000 0.500 0.000

---

# 19
An optimized crystal structure of KRb3Mn, computed with PBE.

Results
As for the total DFT energy (no corrections): -1.773 eV per atom. Its symmetry is No. 221. The value obtained for the calculated formation energy is 0.861 eV/atom. As for the density of states at the Fermi level: 9.0 states/eV per cell.

Cell lengths 7.842, 7.842, 7.842 Å; angles 90.00, 90.00, 90.00 degrees
Atoms (fractional coordinates):
Rb 0.500 0.000 0.000
Rb 0.000 0.000 0.500
Rb 0.000 0.500 0.000
K 0.000 0.000 0.000
Mn 0.500 0.500 0.500

---

# 20
An optimized crystal structure of Sr2Li5Mg2In, computed with PBE.

Results
As for the total DFT energy (no corrections): -1.909 eV per atom. Its symmetry is No. 127. The value obtained for the calculated formation energy is -0.023 eV/atom. As for the density of states at the Fermi level: 10.8 states/eV per cell.

Cell lengths 4.131, 11.537, 11.537 Å; angles 90.00, 90.00, 90.00 degrees
Atoms (fractional coordinates):
Li 0.500 0.813 0.948
Li 0.500 0.687 0.448
Li 0.500 0.000 0.500
Li 0.500 0.500 0.000
Li 0.500 0.552 0.687
Li 0.500 0.448 0.313
Li 0.500 0.948 0.187
Li 0.500 0.187 0.052
Li 0.500 0.052 0.813
Li 0.500 0.313 0.552
Sr 0.000 0.682 0.182
Sr 0.000 0.818 0.682
Sr 0.000 0.182 0.318
Sr 0.000 0.318 0.818
Mg 0.000 0.387 0.113
Mg 0.000 0.613 0.887
Mg 0.000 0.887 0.387
Mg 0.000 0.113 0.613
In 0.000 0.500 0.500
In 0.000 0.000 0.000